Compound: ScAgBi
Source: Alexandria via LeMat-Bulk
Functional: PBE
Structure: relaxed

Computed properties:
- E_tot (eV/atom) = -4.51
- calculated volume (Å³/atom) = 25.6

Unit cell a=4.7437 b=4.7437 c=8.3525 alpha=73.50 beta=73.50 gamma=60.00
Closest atoms and distances in Å follow each position.
Fractional coordinates of all 6 atoms:
Bi 0.7154 0.7154 0.8539  3 Sc 2.98, 1 Ag 3.15
Bi 0.2846 0.2846 0.1461  3 Sc 2.98, 1 Ag 3.15
Sc 0.4316 0.4316 0.7052  3 Bi 2.98, 3 Ag 3.02, 1 Sc 3.24
Sc 0.5684 0.5684 0.2948  3 Bi 2.98, 3 Ag 3.02, 1 Sc 3.24
Ag 0.8484 0.8484 0.4547  3 Ag 2.83, 3 Sc 3.02, 1 Bi 3.15
Ag 0.1516 0.1516 0.5453  3 Ag 2.83, 3 Sc 3.02, 1 Bi 3.15

=====

Compound: SbP2I8
Source: Alexandria via LeMat-Bulk
Functional: PBE
Structure: relaxed

Computed properties:
- E_tot (eV/atom) = -2.51
- calculated volume (Å³/atom) = 50.6
- raw formation energy (eV/f.u.) = -0.32

Unit cell a=14.6259 b=10.0258 c=7.6699 alpha=75.64 beta=81.41 gamma=30.97
Closest atoms and distances in Å follow each position.
Fractional coordinates of all 11 atoms:
P 0.5306 0.0710 0.0047  1 P 2.25, 1 I 2.46
P 0.4694 0.9290 0.9953  1 P 2.25, 1 I 2.46
I 0.7256 0.5912 0.8122  1 P 2.55
I 0.7762 0.1062 0.8031  1 Sb 2.97
I 0.2238 0.8938 0.1969  1 Sb 2.97
I 0.8542 0.0576 0.3383  1 Sb 2.93
I 0.1458 0.9424 0.6617  1 Sb 2.93
I 0.7830 0.6873 0.2482  1 P 2.46
I 0.2170 0.3127 0.7518  1 P 2.46
I 0.2744 0.4088 0.1878  1 P 2.55
Sb 0.0000 0.0000 0.0000  6 I 2.93-3.16

=====

Compound: Ni4AgP
Source: Alexandria via LeMat-Bulk
Functional: PBE
Structure: relaxed

Computed properties:
- E_tot (eV/atom) = -4.95
- calculated volume (Å³/atom) = 12.7

Unit cell a=4.7615 b=4.7615 c=4.7615 alpha=60.00 beta=60.00 gamma=60.00
Closest atoms and distances in Å follow each position.
Fractional coordinates of all 6 atoms:
Ag 0.0000 0.0000 0.0000  12 Ni 2.79, 4 P 2.92
Ni 0.8742 0.3753 0.3753  6 Ni 2.38-2.39
Ni 0.3753 0.8742 0.3753  6 Ni 2.38-2.39
Ni 0.3753 0.3753 0.8742  6 Ni 2.38-2.39
Ni 0.3753 0.3753 0.3753  6 Ni 2.38-2.39
P 0.7500 0.7500 0.7500  12 Ni 2.79, 4 Ag 2.92

=====

Question: What is the formula in the second record?
Answer: SbP2I8